# 1
# TbNd4Tm10

A relaxed TbNd4Tm10 crystal (PBE-GGA, Alexandria via LeMat-Bulk).

Computed properties:
- Energy relative to the elements: 0.28 eV per atom
- M_tot: 0.0 Bohr magnetons per cell

Unit cell a=8.848 b=8.848 c=8.848 alpha=101.58 beta=101.58 gamma=126.78
Fractional positions:
Tb 0.000 0.000 0.000
Nd 0.227 0.227 0.454
Nd 0.227 0.773 0.000
Nd 0.773 0.227 0.000
Nd 0.773 0.773 0.546
Tm 0.087 0.295 0.792
Tm 0.250 0.750 0.500
Tm 0.295 0.087 0.792
Tm 0.295 0.503 0.208
Tm 0.497 0.705 0.792
Tm 0.503 0.295 0.208
Tm 0.705 0.497 0.792
Tm 0.705 0.913 0.208
Tm 0.750 0.250 0.500
Tm 0.913 0.705 0.208

---

# 2
# Tb9Nd4Tm11

A relaxed Tb9Nd4Tm11 crystal (PBE-GGA, Alexandria via LeMat-Bulk).

Computed properties:
- Energy relative to the elements: 0.06 eV per atom
- M_tot: 0.0 Bohr magnetons per cell

Unit cell a=15.001 b=15.001 c=3.685 alpha=90.00 beta=90.00 gamma=112.89
Fractional positions:
Tb 0.000 0.000 0.000
Tb 0.133 0.662 0.000
Tb 0.289 0.436 0.000
Tb 0.338 0.867 0.000
Tb 0.436 0.289 0.000
Tb 0.564 0.711 0.000
Tb 0.662 0.133 0.000
Tb 0.711 0.564 0.000
Tb 0.867 0.338 0.000
Nd 0.055 0.254 0.000
Nd 0.254 0.055 0.000
Nd 0.746 0.945 0.000
Nd 0.945 0.746 0.000
Tm 0.093 0.456 0.500
Tm 0.137 0.863 0.500
Tm 0.217 0.217 0.500
Tm 0.340 0.660 0.500
Tm 0.456 0.093 0.500
Tm 0.500 0.500 0.500
Tm 0.544 0.907 0.500
Tm 0.660 0.340 0.500
Tm 0.783 0.783 0.500
Tm 0.863 0.137 0.500
Tm 0.907 0.544 0.500

---

# 3
# Tb2Nd6Tm3

A relaxed Tb2Nd6Tm3 crystal (PBE-GGA, Alexandria via LeMat-Bulk).

Computed properties:
- Energy relative to the elements: 0.30 eV per atom
- M_tot: 0.0 Bohr magnetons per cell

Unit cell a=17.312 b=17.312 c=17.312 alpha=164.22 beta=164.22 gamma=22.39
Fractional positions:
Tb 0.045 0.045 0.000
Tb 0.955 0.955 0.000
Nd 0.121 0.621 0.500
Nd 0.205 0.205 0.000
Nd 0.379 0.879 0.500
Nd 0.621 0.121 0.500
Nd 0.795 0.795 0.000
Nd 0.879 0.379 0.500
Tm 0.306 0.306 0.000
Tm 0.500 0.500 0.000
Tm 0.694 0.694 0.000

---

# 4
# Tb2NdTm6

A relaxed Tb2NdTm6 crystal (PBE-GGA, Alexandria via LeMat-Bulk).

Computed properties:
- Energy relative to the elements: 0.06 eV per atom
- M_tot: 1.2 Bohr magnetons per cell

Unit cell a=3.567 b=3.567 c=25.860 alpha=90.00 beta=90.00 gamma=120.00
Fractional positions:
Tb 0.000 0.000 0.172
Tb 0.000 0.000 0.828
Nd 0.667 0.333 0.500
Tm 0.000 0.000 0.387
Tm 0.000 0.000 0.613
Tm 0.667 0.333 0.064
Tm 0.667 0.333 0.281
Tm 0.667 0.333 0.719
Tm 0.667 0.333 0.936

---

| no. | DOS(E_F) (states/eV/cell) |
| --- | --- |
| 1 | 19.972 |
| 2 | 29.790 |
| 3 | 16.035 |
| 4 | 15.454 |